# TlCo3, optimized geometry, DFT GGA-PBE
data_TlCo3
_chemical_formula_sum 'Tl2 Co6'
_space_group_name_H-M_alt 'P 1'
_space_group_IT_number 1
_cell_length_a 4.143
_cell_length_b 5.255
_cell_length_c 5.183
_cell_angle_alpha 90.00
_cell_angle_beta 90.00
_cell_angle_gamma 90.00
loop_
_space_group_symop_operation_xyz
'x,y,z'
loop_
_atom_site_label
_atom_site_type_symbol
_atom_site_fract_x
_atom_site_fract_y
_atom_site_fract_z
Tl1 Tl 0.250 0.250 0.113
Tl2 Tl 0.750 0.750 0.887
Co1 Co 0.250 0.004 0.624
Co2 Co 0.250 0.496 0.624
Co3 Co 0.250 0.750 0.244
Co4 Co 0.750 0.250 0.756
Co5 Co 0.750 0.504 0.376
Co6 Co 0.750 0.996 0.376
# Theoretical density = 11.2 Mg/m³
# Space group = Pmmn (59)
# Crystal system = orthorhombic
# Formation enthalpy at 0 K = 1.61 eV per formula unit

# TlCo5, optimized geometry, DFT GGA-PBE
data_TlCo5
_chemical_formula_sum 'Tl1 Co5'
_space_group_name_H-M_alt 'P 1'
_space_group_IT_number 1
_cell_length_a 2.953
_cell_length_b 2.953
_cell_length_c 9.039
_cell_angle_alpha 90.00
_cell_angle_beta 90.00
_cell_angle_gamma 90.00
loop_
_space_group_symop_operation_xyz
'x,y,z'
loop_
_atom_site_label
_atom_site_type_symbol
_atom_site_fract_x
_atom_site_fract_y
_atom_site_fract_z
Tl1 Tl 0.000 0.000 0.000
Co1 Co 0.000 0.000 0.359
Co2 Co 0.000 0.000 0.641
Co3 Co 0.500 0.500 0.218
Co4 Co 0.500 0.500 0.500
Co5 Co 0.500 0.500 0.782
# Theoretical density = 10.5 Mg/m³
# Space group = P4/mmm (123)
# Crystal system = tetragonal
# Formation enthalpy at 0 K = 1.78 eV per formula unit

# Tl3Co2, optimized geometry, DFT GGA-PBE
data_Tl3Co2
_chemical_formula_sum 'Tl9 Co6'
_space_group_name_H-M_alt 'P 1'
_space_group_IT_number 1
_cell_length_a 3.287
_cell_length_b 3.287
_cell_length_c 32.137
_cell_angle_alpha 90.00
_cell_angle_beta 90.00
_cell_angle_gamma 120.00
loop_
_space_group_symop_operation_xyz
'x,y,z'
loop_
_atom_site_label
_atom_site_type_symbol
_atom_site_fract_x
_atom_site_fract_y
_atom_site_fract_z
Tl1 Tl 0.000 0.000 0.000
Tl2 Tl 0.000 0.000 0.211
Tl3 Tl 0.000 0.000 0.789
Tl4 Tl 0.333 0.667 0.456
Tl5 Tl 0.333 0.667 0.667
Tl6 Tl 0.333 0.667 0.878
Tl7 Tl 0.667 0.333 0.122
Tl8 Tl 0.667 0.333 0.333
Tl9 Tl 0.667 0.333 0.544
Co1 Co 0.000 0.000 0.394
Co2 Co 0.000 0.000 0.606
Co3 Co 0.333 0.667 0.060
Co4 Co 0.333 0.667 0.273
Co5 Co 0.667 0.333 0.727
Co6 Co 0.667 0.333 0.940
# Energy above the lowest structure with this stoichiometry = 0.144 eV per atom
# Theoretical density = 12.1 Mg/m³
# Space group = R-3m (166)
# Crystal system = trigonal
# Formation enthalpy at 0 K = 3.09 eV per formula unit

# Tl3Co5, optimized geometry, DFT GGA-PBE
data_Tl3Co5
_chemical_formula_sum 'Tl6 Co10'
_space_group_name_H-M_alt 'P 1'
_space_group_IT_number 1
_cell_length_a 6.347
_cell_length_b 8.903
_cell_length_c 4.321
_cell_angle_alpha 90.00
_cell_angle_beta 90.00
_cell_angle_gamma 90.00
loop_
_space_group_symop_operation_xyz
'x,y,z'
loop_
_atom_site_label
_atom_site_type_symbol
_atom_site_fract_x
_atom_site_fract_y
_atom_site_fract_z
Tl1 Tl 0.000 0.000 0.000
Tl2 Tl 0.000 0.257 0.500
Tl3 Tl 0.000 0.743 0.500
Tl4 Tl 0.500 0.243 0.500
Tl5 Tl 0.500 0.500 0.000
Tl6 Tl 0.500 0.757 0.500
Co1 Co 0.000 0.500 0.000
Co2 Co 0.233 0.500 0.500
Co3 Co 0.250 0.250 0.000
Co4 Co 0.250 0.750 0.000
Co5 Co 0.267 0.000 0.500
Co6 Co 0.500 0.000 0.000
Co7 Co 0.733 0.000 0.500
Co8 Co 0.750 0.250 0.000
Co9 Co 0.750 0.750 0.000
Co10 Co 0.767 0.500 0.500
# Energy above the lowest structure with this stoichiometry = 0.099 eV per atom
# Theoretical density = 12.3 Mg/m³
# Space group = Cmmm (65)
# Crystal system = orthorhombic
# Formation enthalpy at 0 K = 4.76 eV per formula unit

Copy entry 1 word for word.
# TlCo3, optimized geometry, DFT GGA-PBE
data_TlCo3
_chemical_formula_sum 'Tl2 Co6'
_space_group_name_H-M_alt 'P 1'
_space_group_IT_number 1
_cell_length_a 4.143
_cell_length_b 5.255
_cell_length_c 5.183
_cell_angle_alpha 90.00
_cell_angle_beta 90.00
_cell_angle_gamma 90.00
loop_
_space_group_symop_operation_xyz
'x,y,z'
loop_
_atom_site_label
_atom_site_type_symbol
_atom_site_fract_x
_atom_site_fract_y
_atom_site_fract_z
Tl1 Tl 0.250 0.250 0.113
Tl2 Tl 0.750 0.750 0.887
Co1 Co 0.250 0.004 0.624
Co2 Co 0.250 0.496 0.624
Co3 Co 0.250 0.750 0.244
Co4 Co 0.750 0.250 0.756
Co5 Co 0.750 0.504 0.376
Co6 Co 0.750 0.996 0.376
# Theoretical density = 11.2 Mg/m³
# Space group = Pmmn (59)
# Crystal system = orthorhombic
# Formation enthalpy at 0 K = 1.61 eV per formula unit